5
Lattice="4.1000 0.0000 0.0000 0.0000 4.1000 0.0000 0.0000 0.0000 3.9001" Properties=species:S:1:pos:R:3 comment="HfTaN2F, optimized geometry, DFT GGA-PBE" spacegroup="P4/mmm, No. 123" dft_energy_ev_per_atom=-8.72 raw_formation_energy_ev_per_atom=-0.66 de_polymorph_mev_per_atom=0 density_g_cm3=10.29 pbc="T T T"
Hf 0.0000 0.0000 0.0000
Ta 2.0500 2.0500 1.9500
N 0.0000 2.0500 1.9500
N 2.0500 0.0000 1.9500
F 2.0500 2.0500 0.0000